No. 1
A relaxed structure of TmSi7Ir3. Source: the Alexandria database, functional PBE-GGA.

```
22
Lattice="3.8009 2.1944 6.7289 -3.8009 2.1944 6.7289 0.0000 -4.3889 6.7289" Properties=species:S:1:pos:R:3 pbc="T T T"
Tm 0.0000 0.0000 0.0000
Tm 0.0000 0.0000 10.0934
Si -2.9870 -0.9446 10.6802
Si -0.6755 -3.0592 9.5066
Si -0.6755 -1.3297 7.3157
Si 0.0000 0.0000 5.0467
Si -2.3116 2.1145 9.5066
Si -0.8138 1.2498 7.3157
Si -1.4893 -0.0799 12.8710
Si 1.4893 0.0799 7.3157
Si 0.8138 -1.2498 12.8710
Si 2.3116 -2.1145 10.6802
Si 0.0000 0.0000 15.1401
Si 0.6755 1.3297 12.8710
Si 0.6755 3.0592 10.6802
Si 2.9870 0.9446 9.5066
Ir -2.5793 -0.0786 8.4111
Ir -1.2216 -2.2730 11.7756
Ir 1.3577 -2.1944 8.4112
Ir -1.3577 2.1944 11.7756
Ir 1.2216 2.2730 8.4111
Ir 2.5793 0.0786 11.7756
```

Properties
The value obtained for the total magnetization is 0.00 μB/f.u. The calculation puts the total energy at -6.9944 eV per atom. The uncorrected formation energy comes out at -720 meV/atom.

=====

No. 2
A relaxed structure of Tm3Si3Ir2. Source: the Alexandria database, functional PBE-GGA.

```
16
Lattice="2.1074 -5.1373 0.0000 2.1074 5.1373 0.0000 0.0000 0.0000 13.8433" Properties=species:S:1:pos:R:3 pbc="T T T"
Tm 2.1074 4.2819 8.4763
Tm 2.1074 4.2819 12.2887
Tm 2.1074 1.4214 10.3825
Tm 2.1074 -1.4214 3.4608
Tm 2.1074 -4.2819 1.5547
Tm 2.1074 -4.2819 5.3670
Si 2.1074 1.6864 3.4608
Si 2.1074 1.2144 7.4143
Si 2.1074 1.2144 13.3507
Si 2.1074 -1.2144 0.4927
Si 2.1074 -1.2144 6.4290
Si 2.1074 -1.6864 10.3825
Ir 2.1074 3.0648 1.3459
Ir 2.1074 3.0648 5.5758
Ir 2.1074 -3.0648 8.2676
Ir 2.1074 -3.0648 12.4974
```

Properties
The value obtained for the total magnetization is 0.00 μB/f.u. The calculation puts the total energy at -6.9478 eV per atom. The uncorrected formation energy comes out at -1022 meV/atom.

=====

No. 3
A relaxed structure of Tm3Si3Ir2. Source: the Alexandria database, functional PBE-GGA.

```
32
Lattice="7.9495 0.0000 0.0000 0.0000 13.7939 0.0000 0.0000 0.0000 5.5698" Properties=species:S:1:pos:R:3 pbc="T T T"
Tm 0.3694 1.5821 0.6574
Tm 0.3694 5.3149 0.6574
Tm 1.5592 3.4485 3.4868
Tm 2.4155 10.3454 0.7019
Tm 3.6054 8.4790 3.4423
Tm 3.6054 12.2118 3.4423
Tm 4.3442 1.5821 2.1275
Tm 4.3442 5.3149 2.1275
Tm 5.5340 3.4485 4.8679
Tm 6.3903 10.3454 2.0830
Tm 7.5801 8.4790 4.9124
Tm 7.5801 12.2118 4.9124
Si 1.2500 10.3454 3.3477
Si 1.5894 0.5507 3.4991
Si 1.5894 6.3462 3.4991
Si 2.3853 7.4477 0.7142
Si 2.3853 13.2432 0.7142
Si 2.7248 3.4485 0.5628
Si 5.2248 10.3454 5.0069
Si 5.5642 0.5507 4.8556
Si 5.5642 6.3462 4.8556
Si 6.3601 7.4477 2.0707
Si 6.3601 13.2432 2.0707
Si 6.6995 3.4485 2.2221
Ir 0.6552 8.1792 2.1664
Ir 0.6552 12.5117 2.1664
Ir 3.3196 1.2822 4.9513
Ir 3.3196 5.6148 4.9513
Ir 4.6300 8.1792 0.6185
Ir 4.6300 12.5117 0.6185
Ir 7.2943 1.2822 3.4034
Ir 7.2943 5.6148 3.4034
```

Properties
The value obtained for the total magnetization is 0.00 μB/f.u. The calculation puts the total energy at -6.9196 eV per atom. The uncorrected formation energy comes out at -994 meV/atom.

=====

No. 4
A relaxed structure of Tm2Si5Ir3. Source: the Alexandria database, functional PBE-GGA.

```
20
Lattice="2.0613 -11.9332 0.0000 2.0613 11.9332 0.0000 0.0000 0.0000 6.6286" Properties=species:S:1:pos:R:3 pbc="T T T"
Tm 2.0613 11.4851 3.3143
Tm 2.0613 4.1934 3.3620
Tm 2.0613 -4.1934 0.0477
Tm 2.0613 -11.4851 0.0000
Si 2.0613 9.5110 0.9423
Si 2.0613 6.9904 4.6540
Si 2.0613 6.9388 1.8817
Si 2.0613 2.8174 0.1951
Si 2.0613 1.1901 2.2282
Si 2.0613 -1.1901 5.5425
Si 2.0613 -2.8174 3.5094
Si 2.0613 -6.9388 5.1960
Si 2.0613 -6.9904 1.3397
Si 2.0613 -9.5110 4.2566
Ir 2.0613 9.3717 5.1078
Ir 2.0613 5.3023 6.5705
Ir 2.0613 1.3209 4.7811
Ir 2.0613 -1.3209 1.4669
Ir 2.0613 -5.3023 3.2562
Ir 2.0613 -9.3717 1.7936
```

Properties
The value obtained for the total magnetization is 0.00 μB/f.u. The calculation puts the total energy at -7.1258 eV per atom. The uncorrected formation energy comes out at -862 meV/atom.

=====

No. 5
A relaxed structure of TmSi4Ir6. Source: the Alexandria database, functional PBE-GGA.

```
11
Lattice="7.0375 0.0000 0.0000 -3.5187 6.0946 0.0000 0.0000 0.0000 3.8158" Properties=species:S:1:pos:R:3 pbc="T T T"
Tm 0.0000 0.0000 0.0000
Si 0.0000 4.0631 0.0000
Si 2.0668 1.1933 1.9079
Si 4.9707 1.1933 1.9079
Si 3.5187 3.7081 1.9079
Ir 0.0000 2.3984 1.9079
Ir -1.4417 4.8954 1.9079
Ir 3.5187 0.4072 0.0000
Ir 2.1120 2.8437 0.0000
Ir 1.4417 4.8954 1.9079
Ir 4.9255 2.8437 0.0000
```

Properties
The value obtained for the total magnetization is 0.00 μB/f.u. The calculation puts the total energy at -8.0647 eV per atom. The uncorrected formation energy comes out at -853 meV/atom.

=====

No. 6
A relaxed structure of TmSi6Ir12. Source: the Alexandria database, functional PBE-GGA.

```
19
Lattice="5.6044 3.2357 2.7167 -5.6044 3.2357 2.7167 0.0000 -6.4713 2.7167" Properties=species:S:1:pos:R:3 pbc="T T T"
Tm 0.0000 0.0000 0.0000
Si 0.0000 -2.8467 3.2170
Si -2.4653 1.4234 3.2170
Si -2.4653 -1.4234 4.9330
Si 2.4653 1.4234 3.2170
Si 2.4653 -1.4234 4.9330
Si 0.0000 2.8467 4.9330
Ir -2.0618 -3.5711 4.0750
Ir -4.1236 0.0000 4.0750
Ir -1.3722 -0.7922 2.8119
Ir 1.3721 -0.7922 2.8119
Ir 0.0000 1.5844 2.8119
Ir 2.0618 -3.5711 4.0750
Ir -2.0618 3.5711 4.0750
Ir 0.0000 -1.5844 5.3381
Ir -1.3722 0.7922 5.3381
Ir 1.3721 0.7922 5.3381
Ir 4.1236 0.0000 4.0750
Ir 2.0618 3.5711 4.0750
```

Properties
The value obtained for the total magnetization is 0.00 μB/f.u. The calculation puts the total energy at -8.0084 eV per atom. The uncorrected formation energy comes out at -464 meV/atom.

=====

No. 7
A relaxed structure of TmSi2Ir. Source: the Alexandria database, functional PBE-GGA.

```
4
Lattice="2.0403 1.1780 4.7979 -2.0403 1.1780 4.7979 0.0000 -2.3559 4.7979" Properties=species:S:1:pos:R:3 pbc="T T T"
Tm 0.0000 0.0000 0.0000
Si 0.0000 0.0000 3.0810
Si 0.0000 0.0000 11.3128
Ir 0.0000 0.0000 7.1969
```

Properties
The value obtained for the total magnetization is 0.00 μB/f.u. The calculation puts the total energy at -6.8881 eV per atom. The uncorrected formation energy comes out at -843 meV/atom.

=====

No. 8
A relaxed structure of TmSi3Ir2. Source: the Alexandria database, functional PBE-GGA.

```
12
Lattice="7.5540 -2.0101 0.0000 7.5540 2.0101 0.0000 -3.6640 0.0000 6.4762" Properties=species:S:1:pos:R:3 pbc="T T T"
Tm 1.5506 0.0000 0.8805
Tm 9.8935 0.0000 5.5957
Si 13.8359 0.0000 2.2400
Si -2.3918 0.0000 4.2362
Si 4.5177 0.0000 0.8352
Si 3.0481 0.0000 3.4421
Si 8.3960 0.0000 3.0341
Si 6.9263 0.0000 5.6410
Ir 0.3936 0.0000 4.4941
Ir 6.8797 0.0000 1.1877
Ir 4.5644 0.0000 5.2885
Ir 11.0505 0.0000 1.9821
```

Properties
The value obtained for the total magnetization is 0.00 μB/f.u. The calculation puts the total energy at -7.0788 eV per atom. The uncorrected formation energy comes out at -668 meV/atom.

=====

No. 9
A relaxed structure of Tm3SiIr2. Source: the Alexandria database, functional PBE-GGA.

```
24
Lattice="11.3210 0.0000 0.0000 0.0000 3.9030 0.0000 0.0000 0.0000 11.7596" Properties=species:S:1:pos:R:3 pbc="T T T"
Tm 0.6303 0.9757 1.3699
Tm 1.4462 2.9272 6.5603
Tm 2.2302 0.9757 9.5009
Tm 3.4303 2.9272 3.6211
Tm 4.2143 0.9757 0.6805
Tm 5.0301 2.9272 7.2497
Tm 6.2908 0.9757 4.5100
Tm 7.1067 2.9272 11.0791
Tm 7.8907 0.9757 8.1386
Tm 9.0908 2.9272 2.2588
Tm 9.8748 0.9757 5.1993
Tm 10.6906 2.9272 10.3898
Si 1.4144 0.9757 4.2576
Si 4.2461 2.9272 10.1374
Si 7.0749 0.9757 1.6222
Si 9.9066 2.9272 7.5020
Ir 0.2202 2.9272 3.6793
Ir 2.1954 2.9272 11.5461
Ir 3.4651 0.9757 5.6663
Ir 5.4403 0.9757 9.5591
Ir 5.8807 2.9272 2.2006
Ir 7.8559 2.9272 6.0933
Ir 9.1256 0.9757 0.2135
Ir 11.1008 0.9757 8.0804
```

Properties
The value obtained for the total magnetization is 0.00 μB/f.u. The calculation puts the total energy at -6.9664 eV per atom. The uncorrected formation energy comes out at -873 meV/atom.

=====

No. 10
A relaxed structure of Tm3Si4Ir. Source: the Alexandria database, functional PBE-GGA.

```
8
Lattice="-2.1064 2.7931 7.1484 2.1064 -2.7931 7.1484 2.1064 2.7931 -7.1484" Properties=species:S:1:pos:R:3 pbc="T T T"
Tm 0.0000 0.0000 0.0000
Tm 2.1064 0.0000 4.3928
Tm 0.0000 2.7931 2.7556
Si 2.1064 1.1583 -1.7414
Si 2.1064 1.1583 1.7414
Si 0.0000 1.6348 5.4070
Si 0.0000 1.6348 8.8898
Ir 0.0000 0.0000 7.1484
```

Properties
The value obtained for the total magnetization is 0.00 μB/f.u. The calculation puts the total energy at -6.1248 eV per atom. The uncorrected formation energy comes out at -629 meV/atom.

=====

No. 11
A relaxed structure of Tm2Si3Ir2. Source: the Alexandria database, functional PBE-GGA.

```
7
Lattice="4.9768 -2.0581 0.0000 4.9768 2.0581 0.0000 -2.7624 0.0000 5.8891" Properties=species:S:1:pos:R:3 pbc="T T T"
Tm 0.7569 0.0000 1.6171
Tm 6.4343 0.0000 4.2720
Si 3.6475 0.0000 0.3510
Si 3.5956 0.0000 2.9446
Si 3.5436 0.0000 5.5381
Ir -0.6469 0.0000 4.2728
Ir 7.8381 0.0000 1.6164
```

Properties
The value obtained for the total magnetization is 0.00 μB/f.u. The calculation puts the total energy at -6.9836 eV per atom. The uncorrected formation energy comes out at -850 meV/atom.

=====

No. 12
A relaxed structure of TmSiIr3. Source: the Alexandria database, functional PBE-GGA.

```
10
Lattice="-2.7216 3.7406 4.1973 2.7216 -3.7406 4.1973 2.7216 3.7406 -4.1973" Properties=species:S:1:pos:R:3 pbc="T T T"
Tm 0.0000 1.8703 0.0789
Tm 2.7216 1.8703 4.1185
Si 2.7216 0.0000 0.0000
Si 0.0000 0.0000 4.1973
Ir 2.7216 1.8703 -1.4937
Ir 1.3608 4.1002 -2.0987
Ir 1.3608 0.3596 2.0987
Ir -1.3608 3.3809 2.0987
Ir 1.3608 3.3809 2.0987
Ir 0.0000 1.8703 5.6911
```

Properties
The value obtained for the total magnetization is 0.00 μB/f.u. The calculation puts the total energy at -7.9062 eV per atom. The uncorrected formation energy comes out at -611 meV/atom.

=====

No. 13
A relaxed structure of Tm2Si3Ir5. Source: the Alexandria database, functional PBE-GGA.

```
20
Lattice="2.0294 -11.8572 0.0000 2.0294 11.8572 0.0000 0.0000 0.0000 6.6249" Properties=species:S:1:pos:R:3 pbc="T T T"
Tm 2.0294 11.3267 3.3124
Tm 2.0294 4.1558 3.4233
Tm 2.0294 -4.1558 0.1109
Tm 2.0294 -11.3267 0.0000
Si 2.0294 9.2364 1.5120
Si 2.0294 5.5151 0.1890
Si 2.0294 1.0683 1.9556
Si 2.0294 -1.0683 5.2680
Si 2.0294 -5.5151 3.5015
Si 2.0294 -9.2364 4.8245
Ir 2.0294 9.5260 5.6220
Ir 2.0294 6.9649 2.1564
Ir 2.0294 6.9055 4.8506
Ir 2.0294 3.1137 0.2933
Ir 2.0294 1.3345 4.3911
Ir 2.0294 -1.3345 1.0786
Ir 2.0294 -3.1137 3.6057
Ir 2.0294 -6.9055 1.5381
Ir 2.0294 -6.9649 5.4688
Ir 2.0294 -9.5260 2.3096
```

Properties
The value obtained for the total magnetization is 0.00 μB/f.u. The calculation puts the total energy at -7.8295 eV per atom. The uncorrected formation energy comes out at -878 meV/atom.

=====

No. 14
A relaxed structure of TmSi2Ir. Source: the Alexandria database, functional PBE-GGA.

```
8
Lattice="2.9188 -5.0272 0.0000 2.9188 5.0272 0.0000 -2.9108 0.0000 4.7936" Properties=species:S:1:pos:R:3 pbc="T T T"
Tm 0.7357 3.8030 3.5952
Tm 2.1911 -3.8030 1.1984
Si -0.2529 1.0743 4.3511
Si 1.7244 1.0743 2.8393
Si 1.2025 -1.0743 1.9543
Si 3.1798 -1.0743 0.4425
Ir 2.1911 2.8341 1.1984
Ir 0.7357 -2.8341 3.5952
```

Properties
The value obtained for the total magnetization is 0.00 μB/f.u. The calculation puts the total energy at -6.9419 eV per atom. The uncorrected formation energy comes out at -897 meV/atom.

=====

No. 15
A relaxed structure of Y2Tm2Si4Ir. Source: the Alexandria database, functional PBE-GGA.

```
9
Lattice="-3.4089 3.4089 4.2256 3.4089 -3.4089 4.2256 3.4089 3.4089 -4.2256" Properties=species:S:1:pos:R:3 pbc="T T T"
Y 3.4089 0.0000 2.1128
Y 0.0000 3.4089 2.1128
Tm 0.0000 0.0000 1.5822
Tm 0.0000 0.0000 6.8690
Si 1.7104 1.7104 0.0000
Si 1.6985 -1.6985 4.2256
Si -1.6985 1.6985 4.2256
Si 1.6985 1.6985 4.2256
Ir 0.0000 0.0000 4.2256
```

Properties
The value obtained for the total magnetization is 0.00 μB/f.u. The calculation puts the total energy at -6.2204 eV per atom. The uncorrected formation energy comes out at -395 meV/atom.

=====

No. 16
A relaxed structure of Tm2ZnSi4Ir3. Source: the Alexandria database, functional PBE-GGA.

```
10
Lattice="4.0670 0.0000 0.0000 0.0000 4.0670 0.0000 0.0000 0.0000 10.1479" Properties=species:S:1:pos:R:3 pbc="T T T"
Tm 0.0000 2.0335 2.4752
Tm 2.0335 0.0000 7.6727
Zn 0.0000 0.0000 5.0740
Si 0.0000 0.0000 0.0000
Si 0.0000 2.0335 6.4979
Si 2.0335 0.0000 3.6500
Si 2.0335 2.0335 0.0000
Ir 0.0000 2.0335 8.8519
Ir 2.0335 0.0000 1.2960
Ir 2.0335 2.0335 5.0740
```

Properties
The value obtained for the total magnetization is 0.00 μB/f.u. The calculation puts the total energy at -6.7082 eV per atom. The uncorrected formation energy comes out at -859 meV/atom.

=====

No. 17
A relaxed structure of Tm2ZnSi3Ir4. Source: the Alexandria database, functional PBE-GGA.

```
10
Lattice="4.0905 0.0000 0.0000 0.0000 4.0905 0.0000 0.0000 0.0000 10.0810" Properties=species:S:1:pos:R:3 pbc="T T T"
Tm 0.0000 2.0452 2.5167
Tm 2.0452 0.0000 7.5643
Zn 0.0000 0.0000 5.0405
Si 0.0000 2.0452 8.7849
Si 2.0452 0.0000 1.2960
Si 2.0452 2.0452 5.0405
Ir 0.0000 0.0000 0.0000
Ir 0.0000 2.0452 6.4518
Ir 2.0452 0.0000 3.6292
Ir 2.0452 2.0452 0.0000
```

Properties
The value obtained for the total magnetization is 0.00 μB/f.u. The calculation puts the total energy at -7.1209 eV per atom. The uncorrected formation energy comes out at -928 meV/atom.

=====

No. 18
A relaxed structure of U3Si3Ir2. Source: the Alexandria database, functional PBE-GGA.

```
16
Lattice="2.1444 -4.9969 0.0000 2.1444 4.9969 0.0000 0.0000 0.0000 13.8221" Properties=species:S:1:pos:R:3 pbc="T T T"
U 2.1444 4.1980 8.4695
U 2.1444 4.1980 12.2637
U 2.1444 1.5838 10.3666
U 2.1444 -1.5838 3.4555
U 2.1444 -4.1980 1.5584
U 2.1444 -4.1980 5.3526
Si 2.1444 1.3561 3.4555
Si 2.1444 1.1424 7.4142
Si 2.1444 1.1424 13.3189
Si 2.1444 -1.1424 0.5032
Si 2.1444 -1.1424 6.4079
Si 2.1444 -1.3561 10.3666
Ir 2.1444 2.9316 1.4468
Ir 2.1444 2.9316 5.4643
Ir 2.1444 -2.9316 8.3578
Ir 2.1444 -2.9316 12.3753
```

Properties
The value obtained for the total magnetization is 4.93 μB/f.u. The calculation puts the total energy at -9.0523 eV per atom. The uncorrected formation energy comes out at -570 meV/atom.